LiFeWClO4 | PBE with a Hubbard U | relaxed

POSCAR file:
```
LiFeWClO4
1.0
-3.485 0.754 3.689
-3.608 -5.594 -2.265
3.956 -4.284 4.277
O Cl Li W Fe
8 2 2 2 2
Direct
0.754 0.250 0.067 O
0.706 0.539 0.793 O
0.706 0.961 0.793 O
0.294 0.461 0.207 O
0.294 0.039 0.207 O
0.651 0.250 0.463 O
0.349 0.750 0.537 O
0.246 0.750 0.933 O
0.809 0.750 0.220 Cl
0.191 0.250 0.780 Cl
0.000 0.000 0.000 Li
0.000 0.500 0.000 Li
0.499 0.250 0.237 W
0.501 0.750 0.763 W
0.316 0.750 0.250 Fe
0.684 0.250 0.750 Fe
```

Properties
For the final energy, the calculation gives -6.368 eV per atom. The density of states at the Fermi level comes out at 0.00 states/eV/cell. Its space group is P2_1/m.